1.
Entry from Alexandria via LeMat-Bulk: a relaxed NaBeGeRu2 crystal (PBE-GGA).

abc: 4.548 4.566 4.548
angles: 90.00 90.00 90.00
Site moments in Bohr magnetons follow the coordinates.
Element x y z (fractional)
Be (0.500, 0.500, 0.500)  -0.03
Ru (0.500, 0.000, 0.000)  1.10
Ru (0.000, 0.000, 0.500)  1.17
Na (0.000, 0.000, 0.000)  0.00
Ge (0.000, 0.500, 0.000)  -0.03

Calculated volume   18.890 Å³/atom
Formation energy   2.230 eV per atom
E_tot   -17.06 eV/cell


2.
Entry from Alexandria via LeMat-Bulk: a relaxed NaBe2GeSe4 crystal (PBE-GGA).

abc: 5.569 5.569 7.109
angles: 113.05 113.05 90.02
Element x y z (fractional)
Se (0.108, 0.108, 0.699)
Se (0.591, 0.591, 0.699)
Se (0.409, 0.892, 0.301)
Se (0.892, 0.409, 0.301)
Be (0.250, 0.750, 0.500)
Be (0.750, 0.250, 0.500)
Na (0.000, 0.000, 0.001)
Ge (0.500, 0.500, 0.000)

Calculated volume   22.947 Å³/atom
E_tot   -31.40 eV/cell
Formation energy without anion corrections   -49.12 kJ per mole of atoms